VASP calculation (PBE) on crystalline SnPH6CCl3 at its relaxed geometry.

Summary:
The density of states at the Fermi level is 0.000 states/eV/cell. The value obtained for the mass density is 2.099 g/cm³. The excess energy over the best structure of this formula in the dataset comes out at 4 kJ/mol of formula units. Its total energy is -100.0 eV per cell.

CIF file:
```
data_SnPH6CCl3
_cell_length_a 8.627
_cell_length_b 5.958
_cell_length_c 8.445
_cell_angle_alpha 90.51
_cell_angle_beta 91.42
_cell_angle_gamma 87.86
_symmetry_space_group_name_H-M 'P 1'
_symmetry_Int_Tables_number 1
_symmetry_space_group_name_Hall 'P 1'
loop_
_atom_site_label
_atom_site_type_symbol
_atom_site_fract_x
_atom_site_fract_y
_atom_site_fract_z
H1 H 0.900 0.384 0.147
H2 H 0.356 0.296 0.411
H3 H 0.080 0.522 0.173
H4 H 0.905 0.685 0.130
H5 H 0.654 0.384 0.565
H6 H 0.091 0.671 0.846
H7 H 0.083 0.290 0.867
H8 H 0.310 0.673 0.435
H9 H 0.861 0.498 0.815
H10 H 0.617 0.683 0.582
H11 H 0.635 0.554 0.391
H12 H 0.337 0.456 0.658
C1 C 0.968 0.524 0.108
C2 C 0.594 0.532 0.511
Cl1 Cl 0.017 0.432 0.519
Cl2 Cl 0.438 0.438 0.988
Cl3 Cl 0.793 0.010 0.733
Cl4 Cl 0.753 0.042 0.290
Cl5 Cl 0.274 0.971 0.761
Cl6 Cl 0.260 0.993 0.214
Sn1 Sn 0.976 0.001 0.496
Sn2 Sn 0.470 0.009 0.002
P1 P 0.002 0.495 0.901
P2 P 0.390 0.488 0.504
```

---

VASP calculation (PBE) on crystalline SnPH6CCl3 at its relaxed geometry.

Summary:
The density of states at the Fermi level is 0.000 states/eV/cell. The value obtained for the mass density is 1.929 g/cm³. The excess energy over the best structure of this formula in the dataset comes out at 12 kJ/mol of formula units. Its total energy is -199.6 eV per cell.

CIF file:
```
data_SnPH6CCl3
_cell_length_a 7.882
_cell_length_b 8.014
_cell_length_c 16.660
_cell_angle_alpha 86.88
_cell_angle_beta 116.01
_cell_angle_gamma 93.38
_symmetry_space_group_name_H-M 'P 1'
_symmetry_Int_Tables_number 1
_symmetry_space_group_name_Hall 'P 1'
loop_
_atom_site_label
_atom_site_type_symbol
_atom_site_fract_x
_atom_site_fract_y
_atom_site_fract_z
H1 H 0.242 0.035 0.379
H2 H 0.008 0.215 0.294
H3 H 0.138 0.404 0.455
H4 H 0.836 0.004 0.599
H5 H 0.188 0.037 0.948
H6 H 0.320 0.299 0.349
H7 H 0.889 0.580 0.572
H8 H 0.640 0.561 0.995
H9 H 0.651 0.734 0.467
H10 H 0.323 0.267 0.524
H11 H 0.981 0.836 0.151
H12 H 0.962 0.796 0.501
H13 H 0.028 0.638 0.122
H14 H 0.183 0.472 0.899
H15 H 0.573 0.806 0.035
H16 H 0.999 0.862 0.681
H17 H 0.267 0.191 0.033
H18 H 0.077 0.197 0.482
H19 H 0.389 0.176 0.965
H20 H 0.756 0.807 0.960
H21 H 0.924 0.319 0.894
H22 H 0.052 0.271 0.798
H23 H 0.749 0.835 0.647
H24 H 0.886 0.647 0.182
Cl1 Cl 0.829 0.616 0.331
Cl2 Cl 0.622 0.317 0.896
Cl3 Cl 0.363 0.721 0.333
Cl4 Cl 0.799 0.942 0.835
Cl5 Cl 0.345 0.827 0.610
Cl6 Cl 0.333 0.748 0.837
Cl7 Cl 0.220 0.104 0.190
Cl8 Cl 0.697 0.259 0.180
Cl9 Cl 0.685 0.089 0.400
Cl10 Cl 0.368 0.598 0.107
Cl11 Cl 0.180 0.410 0.676
Cl12 Cl 0.646 0.299 0.675
C1 C 0.182 0.274 0.468
C2 C 0.922 0.709 0.131
C3 C 0.858 0.874 0.625
C4 C 0.251 0.163 0.967
Sn1 Sn 0.519 0.919 0.254
Sn2 Sn 0.475 0.605 0.744
Sn3 Sn 0.533 0.420 0.253
Sn4 Sn 0.491 0.109 0.756
P1 P 0.187 0.202 0.369
P2 P 0.097 0.310 0.887
P3 P 0.715 0.721 0.026
P4 P 0.837 0.743 0.537
```

---

VASP calculation (PBE) on crystalline P4H36WC12Cl2 at its relaxed geometry.

Summary:
The value obtained for the mass density is 1.501 g/cm³. Its total energy is -283.3 eV per cell.

CIF file:
```
data_P4H36WC12Cl2
_cell_length_a 9.436
_cell_length_b 9.436
_cell_length_c 9.436
_cell_angle_alpha 84.59
_cell_angle_beta 63.07
_cell_angle_gamma 116.93
_symmetry_space_group_name_H-M 'P 1'
_symmetry_Int_Tables_number 1
_symmetry_space_group_name_Hall 'P 1'
loop_
_atom_site_label
_atom_site_type_symbol
_atom_site_fract_x
_atom_site_fract_y
_atom_site_fract_z
C1 C 0.449 0.712 0.487
C2 C 0.000 0.160 0.322
C3 C 0.000 0.678 0.840
C4 C 0.482 0.322 0.678
C5 C 0.802 0.288 0.263
C6 C 0.802 0.737 0.712
C7 C 0.198 0.487 0.065
C8 C 0.449 0.513 0.288
C9 C 0.551 0.065 0.737
C10 C 0.198 0.935 0.513
C11 C 0.518 0.840 0.160
C12 C 0.551 0.263 0.935
H1 H 0.873 0.553 0.940
H2 H 0.127 0.187 0.320
H3 H 0.566 0.044 0.620
H4 H 0.566 0.380 0.956
H5 H 0.174 0.018 0.583
H6 H 0.127 0.680 0.813
H7 H 0.205 0.970 0.395
H8 H 0.634 0.030 0.766
H9 H 0.601 0.757 0.417
H10 H 0.492 0.940 0.187
H11 H 0.434 0.478 0.186
H12 H 0.826 0.243 0.156
H13 H 0.174 0.417 0.982
H14 H 0.205 0.605 0.030
H15 H 0.335 0.522 0.044
H16 H 0.399 0.982 0.844
H17 H 0.873 0.060 0.447
H18 H 0.665 0.620 0.814
H19 H 0.434 0.814 0.522
H20 H 0.000 0.111 0.220
H21 H 0.634 0.234 0.970
H22 H 0.366 0.395 0.400
H23 H 0.795 0.400 0.234
H24 H 0.000 0.780 0.889
H25 H 0.335 0.956 0.478
H26 H 0.601 0.583 0.243
H27 H 0.665 0.186 0.380
H28 H 0.826 0.844 0.757
H29 H 0.399 0.156 0.018
H30 H 0.492 0.813 0.060
H31 H 0.795 0.766 0.600
H32 H 0.366 0.600 0.605
H33 H 0.508 0.447 0.680
H34 H 0.508 0.320 0.553
H35 H 0.332 0.220 0.780
H36 H 0.668 0.889 0.111
W1 W 0.000 0.500 0.500
P1 P 0.352 0.644 0.356
P2 P 0.000 0.356 0.293
P3 P 0.648 0.293 0.707
P4 P 0.000 0.707 0.644
Cl1 Cl 0.000 0.694 0.306
Cl2 Cl 0.000 0.306 0.694
```